Record 1
This record from the Alexandria database describes DyZn6Ir2 after structural relaxation. The functional is PBE-GGA.

Computed properties:
D(E_F), states/eV/atom: 0.4735
Raw total energy, eV per atom: -3.52
Space-group type: Immm (71)

a = 7.007 Å, b = 7.007 Å, c = 7.007 Å
α = 143.48°, β = 132.29°, γ = 61.54°
Fractional coordinates of all 9 atoms:
Dy (0.000, 0.000, 0.000)
Zn (0.051, 0.299, 0.752)
Zn (0.294, 0.500, 0.794)
Zn (0.453, 0.701, 0.752)
Zn (0.547, 0.299, 0.248)
Zn (0.706, 0.500, 0.206)
Zn (0.949, 0.701, 0.248)
Ir (0.386, 0.886, 0.500)
Ir (0.614, 0.114, 0.500)


Record 2
This record from the Alexandria database describes Dy4Zn2Ir after structural relaxation. The functional is PBE-GGA.

Computed properties:
D(E_F), states/eV/atom: 0.7515
Raw total energy, eV per atom: -4.66
Space-group type: I4/mmm (139)

a = 6.031 Å, b = 6.031 Å, c = 6.031 Å
α = 109.27°, β = 109.27°, γ = 109.87°
Fractional coordinates of all 7 atoms:
Dy (0.000, 0.000, 0.500)
Dy (0.000, 0.500, 0.000)
Dy (0.500, 0.000, 0.000)
Dy (0.500, 0.500, 0.500)
Zn (0.000, 0.500, 0.500)
Zn (0.500, 0.000, 0.500)
Ir (0.000, 0.000, 0.000)


Record 3
This record from the Alexandria database describes Dy8Zn2Ir after structural relaxation. The functional is PBE-GGA.

Computed properties:
D(E_F), states/eV/atom: 1.0758
Raw total energy, eV per atom: -4.60
Polymorph energy (0 for the lowest one), kJ per mole of atoms: 6.6
Space-group type: Cm (8)

a = 8.758 Å, b = 8.758 Å, c = 6.111 Å
α = 103.65°, β = 103.65°, γ = 128.91°
Fractional coordinates of all 11 atoms:
Dy (0.000, 0.000, 0.000)
Dy (0.077, 0.466, 0.137)
Dy (0.117, 0.880, 0.477)
Dy (0.427, 0.657, 0.826)
Dy (0.466, 0.077, 0.137)
Dy (0.557, 0.557, 0.360)
Dy (0.657, 0.427, 0.826)
Dy (0.880, 0.117, 0.477)
Zn (0.551, 0.992, 0.651)
Zn (0.992, 0.551, 0.651)
Ir (0.268, 0.268, 0.842)


Record 4
This record from the Alexandria database describes Dy4ZnIr2 after structural relaxation. The functional is PBE-GGA.

Computed properties:
D(E_F), states/eV/atom: 0.7471
Raw total energy, eV per atom: -5.97
Polymorph energy (0 for the lowest one), kJ per mole of atoms: 3.1
Space-group type: R-3m (166)

a = 9.797 Å, b = 9.797 Å, c = 9.797 Å
α = 27.33°, β = 27.33°, γ = 27.33°
Fractional coordinates of all 7 atoms:
Dy (0.114, 0.114, 0.114)
Dy (0.297, 0.297, 0.297)
Dy (0.703, 0.703, 0.703)
Dy (0.886, 0.886, 0.886)
Zn (0.500, 0.500, 0.500)
Ir (0.407, 0.407, 0.407)
Ir (0.593, 0.593, 0.593)


Record 5
This record from the Alexandria database describes Dy8Zn2Ir after structural relaxation. The functional is PBE-GGA.

Computed properties:
D(E_F), states/eV/atom: 0.7739
Raw total energy, eV per atom: -4.67
Polymorph energy (0 for the lowest one), kJ per mole of atoms: 0.0
Space-group type: C2/m (12)

a = 9.128 Å, b = 9.128 Å, c = 6.712 Å
α = 104.12°, β = 104.12°, γ = 32.42°
Fractional coordinates of all 11 atoms:
Dy (0.028, 0.028, 0.285)
Dy (0.202, 0.202, 0.818)
Dy (0.342, 0.342, 0.535)
Dy (0.411, 0.411, 0.065)
Dy (0.589, 0.589, 0.935)
Dy (0.658, 0.658, 0.465)
Dy (0.798, 0.798, 0.182)
Dy (0.972, 0.972, 0.715)
Zn (0.189, 0.189, 0.231)
Zn (0.811, 0.811, 0.769)
Ir (0.500, 0.500, 0.500)


Record 6
This record from the Alexandria database describes Dy3Zn3Ir2 after structural relaxation. The functional is PBE-GGA.

Computed properties:
D(E_F), states/eV/atom: 0.6305
Raw total energy, eV per atom: -5.01
Space-group type: Cmcm (63)

a = 5.488 Å, b = 5.488 Å, c = 15.860 Å
α = 90.00°, β = 90.00°, γ = 136.65°
Fractional coordinates of all 16 atoms:
Dy (0.072, 0.928, 0.606)
Dy (0.072, 0.928, 0.894)
Dy (0.345, 0.655, 0.750)
Dy (0.655, 0.345, 0.250)
Dy (0.928, 0.072, 0.106)
Dy (0.928, 0.072, 0.394)
Zn (0.362, 0.638, 0.531)
Zn (0.362, 0.638, 0.969)
Zn (0.365, 0.635, 0.250)
Zn (0.635, 0.365, 0.750)
Zn (0.638, 0.362, 0.031)
Zn (0.638, 0.362, 0.469)
Ir (0.220, 0.780, 0.116)
Ir (0.220, 0.780, 0.384)
Ir (0.780, 0.220, 0.616)
Ir (0.780, 0.220, 0.884)